Entry from the Alexandria database: crystalline Ac5La4Hg4 at its relaxed geometry (PBE-GGA).

Properties
space-group type: I4/m, No. 87
volume: 466 Å³ per cell
formation enthalpy at 0 K: -374 kJ/mol of formula units

Cell and atoms, written as POSCAR:
```
Ac5La4Hg4
1.0
-6.5903 6.5903 2.6811
6.5903 -6.5903 2.6811
6.5903 6.5903 -2.6811
Ac La Hg
5 4 4
Direct
0.0000 0.0000 0.0000
0.3079 0.3755 0.6834
0.3755 0.6921 0.0676
0.6245 0.3079 0.9324
0.6921 0.6245 0.3166
0.0975 0.5999 0.6974
0.4001 0.0975 0.4976
0.5999 0.9025 0.5024
0.9025 0.4001 0.3026
0.0836 0.2406 0.3242
0.2406 0.9164 0.1569
0.7594 0.0836 0.8431
0.9164 0.7594 0.6758
```